Record 1
Below is NbCrMoRu after structural relaxation, with properties calculated at the PBE level.

- ΔH_f (0 K): 19 meV/atom
- Total energy: -9.93 eV/atom
- Crystal system: cubic
- DOS at the Fermi energy: 20.56 states/eV per cell

a = 6.228 Å, b = 6.228 Å, c = 6.228 Å
α = 90.00°, β = 90.00°, γ = 90.00°
Space group F-43m (No. 216)
Inequivalent atoms, fractional coordinates:
Nb 0.000 0.000 0.000 (multiplicity 4)
Cr 0.000 0.000 0.500 (multiplicity 4)
Mo 0.250 0.250 0.750 (multiplicity 4)
Ru 0.250 0.250 0.250 (multiplicity 4)

Record 2
Below is Tm2Th3Tc2 after structural relaxation, with properties calculated at the PBE level.

- ΔH_f (0 K): -133 meV/atom
- Total energy: -7.55 eV/atom
- Crystal system: monoclinic
- DOS at the Fermi energy: 12.16 states/eV per cell

a = 11.863 Å, b = 3.944 Å, c = 8.850 Å
α = 90.00°, β = 115.68°, γ = 90.00°
Space group C2/m (No. 12)
Inequivalent atoms, fractional coordinates:
Tm 0.166 0.000 0.313 (multiplicity 4)
Th 0.000 0.500 0.500 (multiplicity 2)
Th 0.113 0.500 0.932 (multiplicity 4)
Tc 0.169 0.000 0.736 (multiplicity 4)

Record 3
Below is BaSr2PuO5 after structural relaxation, with properties calculated at the PBE level.

- Formation energy from raw total energies: -2.776 eV per atom
- Total energy: -7.71 eV/atom
- Crystal system: orthorhombic
- DOS at the Fermi energy: 10.79 states/eV per cell

a = 4.264 Å, b = 6.254 Å, c = 12.288 Å
α = 90.00°, β = 90.00°, γ = 90.00°
Space group Immm (No. 71)
Inequivalent atoms, fractional coordinates:
Ba 0.000 0.000 0.000 (multiplicity 2)
Sr 0.000 0.500 0.218 (multiplicity 4)
Pu 0.000 0.000 0.500 (multiplicity 2)
O 0.000 0.243 0.367 (multiplicity 8)
O 0.000 0.500 0.000 (multiplicity 2)

Record 4
Below is HoTmCu after structural relaxation, with properties calculated at the PBE level.

- ΔH_f (0 K): -143 meV/atom
- Total energy: -4.53 eV/atom
- Crystal system: tetragonal
- DOS at the Fermi energy: 8.41 states/eV per cell

a = 3.443 Å, b = 3.443 Å, c = 12.191 Å
α = 90.00°, β = 90.00°, γ = 90.00°
Space group I4mm (No. 107)
Inequivalent atoms, fractional coordinates:
Ho 0.000 0.000 0.000 (multiplicity 2)
Tm 0.000 0.000 0.722 (multiplicity 2)
Cu 0.000 0.000 0.358 (multiplicity 2)

Record 5
Below is SmVSb2 after structural relaxation, with properties calculated at the PBE level.

- Formation energy from raw total energies: -0.466 eV per atom
- Total energy: -5.99 eV/atom
- Crystal system: trigonal
- DOS at the Fermi energy: 12.64 states/eV per cell

a = 4.2494 Å, b = 4.2494 Å, c = 19.8357 Å
α = 90.00°, β = 90.00°, γ = 120.00°
Space group R-3m (No. 166, hexagonal axes)
Inequivalent atoms, fractional coordinates:
Sm 0.0000 0.0000 0.0000 (multiplicity 3)
V 0.0000 0.0000 0.5000 (multiplicity 3)
Sb 0.0000 0.0000 0.2353 (multiplicity 6)

Record 6
Below is La2TbSm2Tm after structural relaxation, with properties calculated at the PBE level.

- ΔH_f (0 K): 59 meV/atom
- Total energy: -4.67 eV/atom
- Crystal system: orthorhombic
- DOS at the Fermi energy: 19.15 states/eV per cell

a = 7.105 Å, b = 5.735 Å, c = 9.927 Å
α = 90.00°, β = 90.00°, γ = 90.00°
Space group Pmma (No. 51)
Inequivalent atoms, fractional coordinates:
La 0.000 0.000 0.000 (multiplicity 2)
La 0.250 0.500 0.179 (multiplicity 2)
Tb 0.250 0.000 0.656 (multiplicity 2)
Sm 0.250 0.000 0.333 (multiplicity 2)
Sm 0.250 0.500 0.834 (multiplicity 2)
Tm 0.000 0.500 0.500 (multiplicity 2)

Record 7
Below is NaAu after structural relaxation, with properties calculated at the PBE level.

- ΔH_f (0 K): 2 meV/atom
- Total energy: -2.30 eV/atom
- Crystal system: cubic
- DOS at the Fermi energy: 0.00 states/eV per cell

a = 6.742 Å, b = 6.742 Å, c = 6.742 Å
α = 90.00°, β = 90.00°, γ = 90.00°
Space group F-43m (No. 216)
Inequivalent atoms, fractional coordinates:
Na 0.000 0.000 0.000 (multiplicity 4)
Au 0.250 0.250 0.750 (multiplicity 4)

Record 8
Below is LaTaS2Cl after structural relaxation, with properties calculated at the PBE level.

- Formation energy from raw total energies: -1.040 eV per atom
- Total energy: -6.42 eV/atom
- Crystal system: tetragonal
- DOS at the Fermi energy: 3.97 states/eV per cell

a = 4.800 Å, b = 4.800 Å, c = 4.804 Å
α = 90.00°, β = 90.00°, γ = 90.00°
Space group P4/mmm (No. 123)
Inequivalent atoms, fractional coordinates:
La 0.000 0.000 0.000 (multiplicity 1)
Ta 0.500 0.500 0.500 (multiplicity 1)
S 0.000 0.500 0.500 (multiplicity 2)
Cl 0.500 0.500 0.000 (multiplicity 1)

Record 9
Below is CsCrFeRe2 after structural relaxation, with properties calculated at the PBE level.

- ΔH_f (0 K): 2205 meV/atom
- Total energy: -6.56 eV/atom
- Crystal system: tetragonal
- DOS at the Fermi energy: 7.28 states/eV per cell

a = 4.539 Å, b = 4.539 Å, c = 5.401 Å
α = 90.00°, β = 90.00°, γ = 90.00°
Space group P4/mmm (No. 123)
Inequivalent atoms, fractional coordinates:
Cs 0.000 0.000 0.000 (multiplicity 1)
Cr 0.500 0.500 0.000 (multiplicity 1)
Fe 0.000 0.000 0.500 (multiplicity 1)
Re 0.000 0.500 0.500 (multiplicity 2)

Record 10
Below is Mg2HgHRh after structural relaxation, with properties calculated at the PBE level.

- Total energy: -3.18 eV/atom
- Crystal system: tetragonal
- DOS at the Fermi energy: 1.66 states/eV per cell

a = 4.589 Å, b = 4.589 Å, c = 3.500 Å
α = 90.00°, β = 90.00°, γ = 90.00°
Space group P4/mmm (No. 123)
Inequivalent atoms, fractional coordinates:
Mg 0.000 0.500 0.000 (multiplicity 2)
Hg 0.000 0.000 0.500 (multiplicity 1)
H 0.500 0.500 0.000 (multiplicity 1)
Rh 0.500 0.500 0.500 (multiplicity 1)

Record 11
Below is As2Pd7Se2 after structural relaxation, with properties calculated at the PBE level.

- Formation energy from raw total energies: -0.261 eV per atom
- Total energy: -5.04 eV/atom
- Crystal system: monoclinic
- DOS at the Fermi energy: 7.59 states/eV per cell

a = 7.674 Å, b = 9.921 Å, c = 5.512 Å
α = 90.00°, β = 111.86°, γ = 90.00°
Space group C2/m (No. 12)
Inequivalent atoms, fractional coordinates:
As 0.000 0.195 0.000 (multiplicity 4)
Pd 0.000 0.500 0.500 (multiplicity 2)
Pd 0.092 0.000 0.296 (multiplicity 4)
Pd 0.178 0.240 0.704 (multiplicity 8)
Se 0.190 0.500 0.235 (multiplicity 4)

Record 12
Below is TaTiCd after structural relaxation, with properties calculated at the PBE level.

- ΔH_f (0 K): -17 meV/atom
- Total energy: -6.90 eV/atom
- Crystal system: tetragonal
- DOS at the Fermi energy: 3.97 states/eV per cell

a = 3.296 Å, b = 3.296 Å, c = 10.479 Å
α = 90.00°, β = 90.00°, γ = 90.00°
Space group P4/nmm (No. 129, origin choice 2)
Inequivalent atoms, fractional coordinates:
Ta 0.250 0.250 0.078 (multiplicity 2)
Ti 0.250 0.250 0.775 (multiplicity 2)
Cd 0.250 0.250 0.407 (multiplicity 2)

Record 13
Below is Tb6Nd2Er3Th after structural relaxation, with properties calculated at the PBE level.

- ΔH_f (0 K): 32 meV/atom
- Total energy: -4.84 eV/atom
- Crystal system: monoclinic
- DOS at the Fermi energy: 31.94 states/eV per cell

a = 6.193 Å, b = 10.716 Å, c = 11.823 Å
α = 90.00°, β = 100.05°, γ = 90.00°
Space group C2/m (No. 12)
Inequivalent atoms, fractional coordinates:
Tb 0.244 0.000 0.248 (multiplicity 4)
Tb 0.250 0.165 0.752 (multiplicity 8)
Nd 0.000 0.333 0.500 (multiplicity 4)
Er 0.000 0.167 0.000 (multiplicity 4)
Er 0.000 0.500 0.000 (multiplicity 2)
Th 0.000 0.000 0.500 (multiplicity 2)